Entry 1:
Compound: K4Rb2Au
Source: Alexandria via LeMat-Bulk
Functional: PBE
Structure: relaxed

Computed properties:
Calculated total energy: -1.455 eV per atom
E above lowest polymorph: 0.000 eV per atom
Magnetization: 0.0 μB/f.u.
ΔH_f (0 K): -0.083 eV per atom

The structure in POSCAR format:
```
K4Rb2Au
1.0
7.0836 0.0000 2.3624
3.5418 11.0009 1.1812
0.0614 0.0000 11.6170
K Au Rb
8 2 4
direct
0.8291 0.2552 0.0867 K
0.1709 0.7448 0.9133 K
0.9158 0.9133 0.2552 K
0.4158 0.2552 0.9133 K
0.6709 0.9133 0.7448 K
0.0842 0.0867 0.7448 K
0.5842 0.7448 0.0867 K
0.3291 0.0867 0.2552 K
0.7500 0.0000 0.0000 Au
0.2500 0.0000 0.0000 Au
0.3883 0.7235 0.5000 Rb
0.1117 0.5000 0.2765 Rb
0.6117 0.2765 0.5000 Rb
0.8883 0.5000 0.7235 Rb
```

***

Entry 2:
Compound: La6Pr12Tl
Source: Alexandria via LeMat-Bulk
Functional: PBE
Structure: relaxed

Computed properties:
Calculated total energy: -4.651 eV per atom
Magnetization: 0.0 μB/f.u.
ΔH_f (0 K): 0.048 eV per atom

The structure in POSCAR format:
```
La6Pr12Tl
1.0
8.7386 0.6936 0.8309
-0.6393 8.7428 0.8309
-0.6393 -0.7448 8.7505
La Pr Tl
6 12 1
direct
0.7361 0.9058 0.2922 La
0.7078 0.2639 0.0942 La
0.0942 0.7078 0.2639 La
0.2639 0.0942 0.7078 La
0.2922 0.7361 0.9058 La
0.9058 0.2922 0.7361 La
0.7846 0.5307 0.4339 Pr
0.4339 0.7846 0.5307 Pr
0.5307 0.4339 0.7846 Pr
0.2154 0.4693 0.5661 Pr
0.5661 0.2154 0.4693 Pr
0.4693 0.5661 0.2154 Pr
0.0238 0.1691 0.3640 Pr
0.8309 0.6360 0.9762 Pr
0.6360 0.9762 0.8309 Pr
0.9762 0.8309 0.6360 Pr
0.1691 0.3640 0.0238 Pr
0.3640 0.0238 0.1691 Pr
0.0000 0.0000 0.0000 Tl
```

***

Entry 3:
Compound: Ba6Cd2In
Source: Alexandria via LeMat-Bulk
Functional: PBE
Structure: relaxed

Computed properties:
Calculated total energy: -2.053 eV per atom
E above lowest polymorph: 0.000 eV per atom
Magnetization: 0.0 μB/f.u.
ΔH_f (0 K): -0.264 eV per atom

The structure in POSCAR format:
```
Ba6Cd2In
1.0
5.7975 0.0000 1.9304
2.8992 7.6229 0.9638
0.0069 0.0017 9.6499
Ba Cd In
6 2 1
direct
0.9652 0.2368 0.8328 Ba
0.2980 0.2368 0.1672 Ba
0.7020 0.7632 0.8328 Ba
0.3672 0.7657 0.5000 Ba
0.6328 0.2343 0.5000 Ba
0.0348 0.7632 0.1672 Ba
0.3337 0.5000 0.8325 Cd
0.6663 0.5000 0.1675 Cd
0.0000 0.5000 0.5000 In
```

***

Entry 4:
Compound: AlRe2Ni
Source: Alexandria via LeMat-Bulk
Functional: PBE
Structure: relaxed

Computed properties:
Calculated total energy: -8.717 eV per atom
Magnetization: 0.0 μB/f.u.
ΔH_f (0 K): -0.112 eV per atom

The structure in POSCAR format:
```
AlRe2Ni
1.0
4.5030 0.0001 0.0000
1.0254 4.3847 0.0000
-2.7642 -2.1924 2.7981
Re Al Ni
2 1 1
direct
0.0000 0.0000 0.0000 Re
0.2500 0.7500 0.5000 Re
0.5000 0.5000 0.0000 Al
0.7500 0.2500 0.5000 Ni
```

***

Entry 5:
Compound: Th4GeSb2Te
Source: Alexandria via LeMat-Bulk
Functional: PBE
Structure: relaxed

Computed properties:
Calculated total energy: -6.642 eV per atom
Magnetization: 0.0 μB/f.u.

The structure in POSCAR format:
```
Th4GeSb2Te
1.0
4.4316 0.0000 0.0000
0.0000 7.7155 -0.1675
0.0000 2.7018 7.2398
Th Ge Sb Te
4 1 2 1
direct
0.0000 0.7420 0.7372 Th
0.0000 0.2580 0.2628 Th
0.5000 0.7329 0.2695 Th
0.5000 0.2671 0.7305 Th
0.0000 0.5000 0.5000 Ge
0.0000 0.0000 0.0000 Sb
0.5000 0.0000 0.5000 Sb
0.5000 0.5000 0.0000 Te
```

***

Entry 6:
Compound: ScAgC
Source: Alexandria via LeMat-Bulk
Functional: PBE
Structure: relaxed

Computed properties:
Calculated total energy: -6.162 eV per atom
Magnetization: 0.0 μB/f.u.
ΔH_f (0 K): -0.026 eV per atom

The structure in POSCAR format:
```
ScAgC
1.0
-7.4676 -1.8389 -4.9064
-1.6799 -2.5043 1.2982
-1.7093 2.0894 1.8186
Sc C Ag
2 2 2
direct
0.5097 0.0895 0.6190 Sc
0.7788 0.3200 0.1190 Sc
0.7792 0.8196 0.6190 C
0.5092 0.5899 0.1190 C
0.0396 0.5593 0.6188 Ag
0.2489 0.8501 0.1188 Ag
```

***

Entry 7:
Compound: DyHoNi10
Source: Alexandria via LeMat-Bulk
Functional: PBE
Structure: relaxed

Computed properties:
Calculated total energy: -5.914 eV per atom
Magnetization: 2.9 μB/f.u.
ΔH_f (0 K): -0.331 eV per atom

The structure in POSCAR format:
```
DyHoNi10
1.0
3.9562 0.0000 0.0000
0.0000 4.8733 0.0000
0.0000 0.0000 8.4315
Dy Ho Ni
1 1 10
direct
0.0000 0.0000 0.0000 Dy
0.0000 0.5000 0.5000 Ho
0.0000 0.0000 0.3339 Ni
0.0000 0.5000 0.8329 Ni
0.0000 0.5000 0.1671 Ni
0.0000 0.0000 0.6661 Ni
0.5000 0.0000 0.5000 Ni
0.5000 0.5000 0.0000 Ni
0.5000 0.2503 0.2505 Ni
0.5000 0.7497 0.7495 Ni
0.5000 0.7497 0.2505 Ni
0.5000 0.2503 0.7495 Ni
```